Record 1
Computed, not measured: a relaxed structure of IrOsBr2 at the GGA-PBE level of DFT.

As for the crystal system: orthorhombic. For the offset from the most stable computed form, the calculation gives 533 meV/atom. The calculation puts the uncorrected formation energy at 3.705 eV/f.u.

Geometry as extended XYZ:
```
4
Lattice="-1.5563 -4.9024 5.6778 2.1051 -7.0093 2.2653 0.7908 7.3753 -1.9165" Properties=species:S:1:pos:R:3 pbc="T T T"
Br 0.0563 -1.2224 0.8151
Br 0.2181 -4.7334 3.1564
Os 1.5852 -2.7949 2.1602
Ir -0.2456 -1.7414 3.8664
```

=====

Record 2
Computed, not measured: a relaxed structure of YMnCl at the GGA-PBE level of DFT.

As for the crystal system: monoclinic. The calculation puts the uncorrected formation energy at -3.207 eV/f.u.

Geometry as extended XYZ:
```
6
Lattice="3.5416 -0.1666 -1.3194 1.7918 3.1829 -1.0301 -1.2191 0.2687 12.6633" Properties=species:S:1:pos:R:3 pbc="T T T"
Mn 2.7428 1.8113 7.5182
Mn 0.9734 0.8034 8.3194
Cl 3.5442 0.9391 -0.7589
Cl 3.1542 0.2419 3.3985
Y 1.7250 3.2013 10.0287
Y 3.7825 2.5976 4.7782
```

=====

Record 3
Computed, not measured: a relaxed structure of Ta2TlZn at the GGA-PBE level of DFT.

As for the crystal system: orthorhombic. Its energy of formation is 0.3545 eV/atom.

Geometry as extended XYZ:
```
4
Lattice="2.9082 0.0000 0.0000 0.0000 4.3824 0.0000 0.0000 0.0000 5.7666" Properties=species:S:1:pos:R:3 pbc="T T T"
Ta 0.0000 0.0000 5.6941
Ta 0.0000 0.0000 2.9557
Tl 1.4541 2.1912 1.4416
Zn 1.4541 2.1912 4.3249
```

=====

Record 4
Computed, not measured: a relaxed structure of CoMoSe2 at the GGA-PBE level of DFT.

As for the crystal system: orthorhombic. For the offset from the most stable computed form, the calculation gives 790 meV/atom. The calculation puts the uncorrected formation energy at 2.144 eV/f.u.

Geometry as extended XYZ:
```
4
Lattice="3.1136 0.0000 0.0000 0.0000 5.5371 0.0000 0.0000 0.0000 3.9014" Properties=species:S:1:pos:R:3 pbc="T T T"
Co 1.5568 0.0000 1.9507
Se 0.0000 0.0000 0.0000
Se 1.5568 2.7686 0.0000
Mo 0.0000 2.7686 1.9507
```

=====

Record 5
Computed, not measured: a relaxed structure of Mg4Si3 at the GGA-PBE level of DFT.

As for the crystal system: triclinic. For the offset from the most stable computed form, the calculation gives 54 meV/atom. The calculation puts the uncorrected formation energy at 0.156 eV/f.u.

Geometry as extended XYZ:
```
28
Lattice="7.1218 -0.1372 -0.0356 -3.3757 -6.9473 0.2077 -2.0161 0.9955 -10.6935" Properties=species:S:1:pos:R:3 pbc="T T T"
Mg 2.2711 -5.6329 -1.7747
Mg 3.8103 -3.1009 -6.0692
Mg 0.0761 -3.2549 -2.1170
Mg -1.2659 -1.3023 -3.9130
Mg -1.0361 -5.9020 -0.8235
Mg 2.4760 -2.1372 -0.2433
Mg -0.8794 0.3459 -8.5217
Mg -2.3630 -5.1221 -3.6124
Mg -0.7951 -2.7001 -7.7207
Mg -1.8249 -5.6354 -6.5892
Mg -0.7061 -5.9428 -9.3660
Mg 1.1434 -4.8087 -6.9079
Mg 1.2186 -1.5366 -5.5826
Mg 1.6361 -3.8688 -9.7369
Mg 3.5507 0.2780 -4.4760
Mg 3.9461 -1.8156 -9.7640
Si 3.5612 -0.5814 -7.2151
Si 5.0139 -1.2735 -1.3256
Si 3.1550 -2.4289 -3.3464
Si 4.4378 -3.6560 -1.5089
Si -0.5299 -3.6867 -5.0379
Si 1.7822 -4.2566 -4.2129
Si -1.0846 -3.4155 -10.4271
Si 1.4117 -0.8144 -2.7968
Si -2.8752 -4.2049 -8.7024
Si 2.8583 -6.1765 -5.3528
Si 0.0905 -0.5186 -0.4191
Si 1.4597 -1.3440 -8.3412
```

=====

Record 6
Computed, not measured: a relaxed structure of Sr2YTl at the GGA-PBE level of DFT.

As for the crystal system: tetragonal. Its energy of formation is 0.0058 eV/atom. For the offset from the most stable computed form, the calculation gives 139 meV/atom.

Geometry as extended XYZ:
```
4
Lattice="6.2801 -0.0210 0.0000 1.7339 6.0360 0.0000 -4.0070 -3.0075 3.7866" Properties=species:S:1:pos:R:3 pbc="T T T"
Tl 4.0070 3.0075 0.0000
Sr 0.0000 0.0000 0.0000
Sr 0.8669 3.0180 1.8933
Y 3.1400 -0.0105 1.8933
```

=====

no.,E_tot (eV/cell),M_tot (μB per atom)
1,-19.7,0.42
2,-41.4,0.00
3,-25.9,0.00
4,-22.8,0.30
5,-90.0,0.00
6,-12.2,0.00